A relaxed structure of LiHg6, computed with GGA-PBE.

ρ ... 7.1 g/cm³
Space-group type ... Im-3m (229)
Volume ... 40.41 Å³ per atom
Energy of formation ... 0.201 eV/atom
VASP energy ... -2.3 eV for the cell shown
Distance to the lowest polymorph of the same formula ... 279 meV/atom
D(E_F) ... 3.7 states/eV/f.u.

abc: 7.1628 7.1628 7.1628
angles: 109.47 109.47 109.47
Positions (direct):
Li  0.0000  0.0000  0.0000
Hg  0.2500  0.7500  0.5000
Hg  0.5000  0.7500  0.2500
Hg  0.2500  0.5000  0.7500
Hg  0.7500  0.2500  0.5000
Hg  0.5000  0.2500  0.7500
Hg  0.7500  0.5000  0.2500